Density functional theory data (GGA-PBE) for a relaxed structure of SrTiH2O.

Summary:
Mass density ... 4.24 g cm⁻³
E_tot ... -5.5314 eV per atom

a b c (Å): 3.858 3.858 4.037
angles (deg): 90.00 90.00 90.00
Space group P4/mmm (No. 123)
Inequivalent atoms, fractional coordinates:
Sr: 0.000 0.000 0.000 x1
Ti: 0.500 0.500 0.500 x1
H: 0.000 0.500 0.500 x2
O: 0.500 0.500 0.000 x1